# 1
Compound: Zr2BeTc
Source: Alexandria via LeMat-Bulk
Functional: PBE
Structure: optimized geometry

formation energy = -124 meV/atom
density of states at the Fermi level = 1.1262 states/eV per atom
M_tot = 0.000 μB per atom
uncorrected energy = -7.92 eV per atom

Unit cell a=3.252 b=3.252 c=6.506 alpha=90.00 beta=90.00 gamma=90.00
Fractional positions:
Zr (0.000, 0.000, 0.000)
Zr (0.500, 0.500, 0.335)
Be (0.000, 0.000, 0.587)
Tc (0.500, 0.500, 0.723)


# 2
Compound: TaIn2TcRh
Source: Alexandria via LeMat-Bulk
Functional: PBE
Structure: optimized geometry

formation energy = 1385 meV/atom
density of states at the Fermi level = 1.5290 states/eV per atom
M_tot = 0.000 μB per atom
uncorrected energy = -5.62 eV per atom

Unit cell a=5.017 b=5.017 c=4.610 alpha=90.00 beta=90.00 gamma=90.00
Fractional positions:
Ta (0.000, 0.000, 0.000)
In (0.000, 0.500, 0.500)
In (0.500, 0.000, 0.500)
Tc (0.500, 0.500, 0.500)
Rh (0.500, 0.500, 0.000)


# 3
Compound: La2TaBe
Source: Alexandria via LeMat-Bulk
Functional: PBE
Structure: optimized geometry

formation energy = 556 meV/atom
density of states at the Fermi level = 1.2829 states/eV per atom
M_tot = 0.000 μB per atom
uncorrected energy = -5.80 eV per atom

Unit cell a=5.472 b=5.472 c=3.314 alpha=90.00 beta=90.00 gamma=95.90
Fractional positions:
La (0.000, 0.500, 0.000)
La (0.500, 0.000, 0.000)
Ta (0.000, 0.000, 0.500)
Be (0.500, 0.500, 0.500)


# 4
Compound: Mg3RhS
Source: Alexandria via LeMat-Bulk
Functional: PBE
Structure: optimized geometry

uncorrected formation energy = -0.054 eV per atom
density of states at the Fermi level = 0.5521 states/eV per atom
M_tot = 0.000 μB per atom
uncorrected energy = -3.31 eV per atom

Unit cell a=4.675 b=4.675 c=4.675 alpha=90.00 beta=90.00 gamma=90.00
Fractional positions:
Mg (0.000, 0.000, 0.500)
Mg (0.000, 0.500, 0.000)
Mg (0.500, 0.000, 0.000)
Rh (0.500, 0.500, 0.500)
S (0.000, 0.000, 0.000)